Entry 1:
Entry from Alexandria: a geometry-optimized Sm6AsP2S3 structure (GGA-PBE).

Calculated values
magnetization	0.000	μB per formula unit
formation energy from raw total energies	-1.84	eV per atom
raw total energy	-78.27	eV per formula unit

Geometry as POSCAR:
```
Sm6AsP2S3
1.0
8.9031 -2.0424 0.0000
8.9031 2.0424 0.0000
-1.8714 0.0000 7.9429
Sm As P S
6 1 2 3
Cartesian
-0.4335 0.0000 2.0130
5.1089 0.0000 3.3443
4.2089 0.0000 7.2224
11.7259 0.0000 0.7204
10.8259 0.0000 4.5985
16.3683 0.0000 5.9298
8.9031 0.0000 0.0000
2.3469 0.0000 2.6501
13.5879 0.0000 5.2928
1.3938 0.0000 6.6187
7.9674 0.0000 3.9714
14.5410 0.0000 1.3242
```

***

Entry 2:
Entry from Alexandria: a geometry-optimized HoPu2Fe structure (GGA-PBE).

Calculated values
relative energy among the computed polymorphs	10.29	kcal/mol of atoms
magnetization	4.197	μB per formula unit
raw total energy	-39.42	eV per formula unit
E_form	572	meV per atom

Geometry as POSCAR:
```
HoPu2Fe
1.0
2.1581 1.2460 5.4701
-2.1581 1.2460 5.4701
0.0000 -2.4920 5.4701
Ho Pu Fe
1 2 1
Cartesian
0.0000 0.0000 0.0000
0.0000 0.0000 3.0779
0.0000 0.0000 13.3323
0.0000 0.0000 8.2051
```

***

Entry 3:
Entry from Alexandria: a geometry-optimized Nd2CuNi4Sb3 structure (GGA-PBE).

Calculated values
magnetization	0.000	μB per formula unit
formation energy from raw total energies	-0.59	eV per atom
raw total energy	-55.07	eV per formula unit

Geometry as POSCAR:
```
Nd2CuNi4Sb3
1.0
4.3481 0.0000 0.0000
0.0000 4.3481 0.0000
0.0000 0.0000 10.0049
Nd Cu Ni Sb
2 1 4 3
Cartesian
0.0000 2.1740 2.4937
2.1740 0.0000 7.5113
0.0000 0.0000 5.0025
0.0000 0.0000 0.0000
0.0000 2.1740 6.1827
2.1740 0.0000 3.8222
2.1740 2.1740 0.0000
0.0000 2.1740 8.6679
2.1740 0.0000 1.3371
2.1740 2.1740 5.0025
```

***

Entry 4:
Entry from Alexandria: a geometry-optimized In12SnBi4 structure (GGA-PBE).

Calculated values
magnetization	0.000	μB per formula unit
raw total energy	-49.34	eV per formula unit
E_form	179	meV per atom

Geometry as POSCAR:
```
In12SnBi4
1.0
7.4485 4.3004 3.0377
-7.4485 4.3004 3.0377
0.0000 -8.6008 3.0377
In Sn Bi
12 1 4
Cartesian
-4.8123 -1.5683 4.7772
-2.6368 -0.3132 3.0051
-1.0479 -4.9517 4.3359
1.5896 -2.1269 3.0051
-3.7644 3.3834 4.3359
1.0472 2.4401 3.0051
-1.0472 -2.4401 6.1079
3.7644 -3.3834 4.7772
-1.5896 2.1269 6.1079
1.0479 4.9517 4.7772
2.6368 0.3132 6.1079
4.8123 1.5683 4.3359
0.0000 0.0000 0.0000
-7.4485 0.0000 4.5565
-3.7242 2.1502 1.5188
3.7243 2.1502 1.5188
0.0000 0.0000 4.5565
```

***

Entry 5:
Entry from Alexandria: a geometry-optimized Mg2FeTe structure (GGA-PBE).

Calculated values
magnetization	1.852	μB per formula unit
formation energy from raw total energies	0.31	eV per atom
raw total energy	-13.56	eV per formula unit

Geometry as POSCAR:
```
Mg2FeTe
1.0
0.0000 3.4049 3.4049
3.4049 0.0000 3.4049
3.4049 3.4049 0.0000
Mg Fe Te
2 1 1
Cartesian
0.0000 0.0000 0.0000
1.7024 1.7024 1.7024
5.1073 5.1073 5.1073
3.4049 3.4049 3.4049
```

***

Entry 6:
Entry from Alexandria: a geometry-optimized MgCrCd2 structure (GGA-PBE).

Calculated values
magnetization	3.997	μB per formula unit
raw total energy	-12.18	eV per formula unit
E_form	217	meV per atom

Geometry as POSCAR:
```
MgCrCd2
1.0
5.0509 -1.5788 0.0000
5.0509 1.5788 0.0000
-1.0381 0.0000 5.0305
Mg Cr Cd
1 1 2
Cartesian
0.0000 0.0000 0.0000
1.7775 0.0000 3.7490
4.6001 0.0000 2.6102
7.3730 0.0000 1.2132
```

***

Entry 7:
Entry from Alexandria: a geometry-optimized CsMg2Pt structure (GGA-PBE).

Calculated values
magnetization	0.000	μB per formula unit
raw total energy	-8.95	eV per formula unit
E_form	283	meV per atom

Geometry as POSCAR:
```
CsMg2Pt
1.0
0.0000 3.7319 3.7319
3.7319 0.0000 3.7319
3.7319 3.7319 0.0000
Cs Mg Pt
1 2 1
Cartesian
0.0000 0.0000 0.0000
1.8660 1.8660 1.8660
5.5979 5.5979 5.5979
3.7319 3.7319 3.7319
```

***

Entry 8:
Entry from Alexandria: a geometry-optimized TaBeAg2 structure (GGA-PBE).

Calculated values
magnetization	0.004	μB per formula unit
raw total energy	-19.02	eV per formula unit
E_form	566	meV per atom

Geometry as POSCAR:
```
TaBeAg2
1.0
3.7607 0.0000 0.0000
0.0000 3.7607 0.0000
0.0000 0.0000 4.5432
Ta Be Ag
1 1 2
Cartesian
0.0000 0.0000 0.0000
1.8804 1.8804 0.0000
0.0000 1.8804 2.2716
1.8804 0.0000 2.2716
```

***

Entry 9:
Entry from Alexandria: a geometry-optimized Ca4IrO6 structure (GGA-PBE).

Calculated values
magnetization	1.051	μB per formula unit
formation energy from raw total energies	-2.35	eV per atom
raw total energy	-72.49	eV per formula unit

Geometry as POSCAR:
```
Ca4IrO6
1.0
4.7134 2.7213 3.7501
-4.7134 2.7213 3.7501
0.0000 -5.4425 3.7501
Ca Ir O
8 2 12
Cartesian
-3.0150 0.2203 4.6876
0.0000 0.0000 2.8126
-1.6983 -2.5009 6.5627
1.3167 -2.7213 4.6876
-1.3167 2.7213 6.5627
1.6983 2.5009 4.6876
0.0000 0.0000 8.4378
3.0150 -0.2203 6.5627
0.0000 0.0000 0.0000
0.0000 0.0000 5.6252
-4.1183 -1.1517 6.3269
-1.0617 -4.1424 4.9235
-1.0617 -1.3001 4.4518
-3.0566 2.9907 4.9235
-0.5951 1.5695 4.4518
-1.6568 0.2694 6.7986
1.6568 -0.2694 4.4518
0.5951 -1.5695 6.7986
3.0566 -2.9907 6.3268
1.0617 1.3001 6.7986
1.0617 4.1424 6.3269
4.1183 1.1517 4.9235
```

***

Entry 10:
Entry from Alexandria: a geometry-optimized Cs2CrCu2S4 structure (GGA-PBE).

Calculated values
magnetization	2.396	μB per formula unit
formation energy from raw total energies	-0.67	eV per atom
raw total energy	-42.03	eV per formula unit

Geometry as POSCAR:
```
Cs2CrCu2S4
1.0
7.0421 -1.9087 0.0000
7.0421 1.9087 0.0000
-2.2842 0.0000 7.5795
Cs Cr Cu S
2 1 2 4
Cartesian
1.7742 0.0000 0.4726
10.0258 0.0000 7.1069
-1.1421 0.0000 3.7897
3.2788 0.0000 3.9022
8.5212 0.0000 3.6773
1.0939 0.0000 4.9129
5.1899 0.0000 5.2446
6.6102 0.0000 2.3349
10.7061 0.0000 2.6665
```

***

Entry 11:
Entry from Alexandria: a geometry-optimized Ru2Se structure (GGA-PBE).

Calculated values
relative energy among the computed polymorphs	7.12	kcal/mol of atoms
magnetization	0.000	μB per formula unit
formation energy from raw total energies	0.37	eV per atom
raw total energy	-20.93	eV per formula unit

Geometry as POSCAR:
```
Ru2Se
1.0
-2.0137 2.0137 11.3455
2.0137 -2.0137 11.3455
2.0137 2.0137 -11.3455
Ru Se
8 4
Cartesian
2.0137 1.0069 -3.1348
2.0137 1.0069 0.7545
0.0000 1.0069 2.5380
2.0137 1.0069 4.9182
0.0000 1.0069 6.4272
2.0137 1.0069 8.8075
0.0000 1.0069 10.5910
0.0000 1.0069 14.4803
2.0137 -1.0069 6.8637
2.0137 -1.0069 10.1546
0.0000 3.0206 1.1909
0.0000 3.0206 4.4818
```

***

Entry 12:
Entry from Alexandria: a geometry-optimized NaCu3O2 structure (GGA-PBE).

Calculated values
magnetization	0.000	μB per formula unit
formation energy from raw total energies	-0.68	eV per atom
raw total energy	-27.59	eV per formula unit

Geometry as POSCAR:
```
NaCu3O2
1.0
-2.9632 4.7984 2.7742
2.9632 -4.7984 2.7742
2.9632 4.7984 -2.7742
Na Cu O
2 6 4
Cartesian
0.0000 0.0000 1.3871
0.0000 0.0000 4.1612
1.4816 2.3992 -1.3871
1.4816 -2.3992 1.3871
2.9632 0.0000 0.0000
-1.4816 2.3992 1.3871
0.0000 4.7984 0.0000
1.4816 2.3992 1.3871
1.4444 1.1428 0.0000
1.4444 -1.1428 2.7742
1.5188 5.9412 0.0000
1.5188 3.6556 2.7742
```

***

Entry 13:
Entry from Alexandria: a geometry-optimized Ti2InCo structure (GGA-PBE).

Calculated values
magnetization	0.000	μB per formula unit
raw total energy	-26.73	eV per formula unit
E_form	-273	meV per atom

Geometry as POSCAR:
```
Ti2InCo
1.0
6.2959 -1.5520 0.0000
6.2959 1.5520 0.0000
-0.8204 0.0000 6.9383
Ti In Co
4 2 2
Cartesian
0.4707 0.0000 2.1679
2.4251 0.0000 4.6029
9.3462 0.0000 2.3354
11.3007 0.0000 4.7704
4.7507 0.0000 0.2306
7.0206 0.0000 6.7077
4.7556 0.0000 2.9329
7.0157 0.0000 4.0054
```

***

The DOS at the Fermi energy results, record by record, are as follows: 4.10 7.09 5.44 10.50 5.56 1.53 2.22 4.53 4.73 5.96 2.73 0.00 3.87 states/eV/f.u..